An optimized crystal structure of Cs2TlH6. Source: Alexandria, functional PBE.

Lattice parameters (Å, degrees): 4.3780 8.1051 8.1051 61.04 57.09 57.09
Element x y z (fractional)
1 H 0.6908 0.3079 0.5528
2 H 0.3027 0.9441 0.3109
3 H 0.3027 0.3109 0.9441
4 H 0.5820 0.6664 0.3057
5 H 0.5820 0.3057 0.6664
6 H 0.6908 0.5528 0.3079
7 Cs 0.7197 0.6702 0.6702
8 Cs 0.5317 0.2616 0.2616
9 Tl 0.5976 0.9804 0.9804

- DOS(E_F) (states/eV/cell) = 1.4
- space-group type = Cm
- polymorph energy (0 for the lowest one) (eV/atom) = 0.000



An optimized crystal structure of Y2MgZnS. Source: Alexandria, functional PBE.

Lattice parameters (Å, degrees): 5.2082 4.6955 5.2082 90.00 90.00 90.00
Element x y z (fractional)
1 Y 0.0000 0.0000 0.5000
2 Y 0.5000 0.0000 0.0000
3 Mg 0.0000 0.5000 0.0000
4 S 0.0000 0.0000 0.0000
5 Zn 0.5000 0.5000 0.5000

- DOS(E_F) (states/eV/cell) = 3.0
- uncorrected formation energy (meV per atom) = -524
- space-group type = P4/mmm



An optimized crystal structure of AlTlHgI4. Source: Alexandria, functional PBE.

Lattice parameters (Å, degrees): 8.7746 9.8612 9.8612 67.65 63.58 63.58
Element x y z (fractional)
1 Al 0.6391 0.6109 0.1109
2 Al 0.3609 0.3891 0.8891
3 I 0.7336 0.3176 0.2151
4 I 0.7336 0.7151 0.8176
5 I 0.2427 0.2731 0.7731
6 I 0.2890 0.7269 0.2269
7 I 0.2664 0.2849 0.1824
8 I 0.2664 0.6824 0.7849
9 I 0.7573 0.7269 0.2269
10 I 0.7110 0.2731 0.7731
11 Tl 0.0000 0.0000 0.0000
12 Tl 0.0000 0.5000 0.5000
13 Hg 0.5000 0.0000 0.5000
14 Hg 0.0000 0.0000 0.5000

- DOS(E_F) (states/eV/cell) = 0.0
- uncorrected formation energy (meV per atom) = -537
- space-group type = Imma



An optimized crystal structure of Na3Cl2. Source: Alexandria, functional PBE.

Lattice parameters (Å, degrees): 6.9983 6.9983 7.9726 63.97 63.97 60.00
Element x y z (fractional)
1 Cl 0.3398 0.3398 0.9805
2 Cl 0.1602 0.1602 0.5195
3 Cl 0.8398 0.8398 0.4805
4 Cl 0.6602 0.6602 0.0195
5 Na 0.2500 0.5710 0.2500
6 Na 0.5710 0.9290 0.2500
7 Na 0.7500 0.4290 0.7500
8 Na 0.0710 0.7500 0.7500
9 Na 0.4290 0.0710 0.7500
10 Na 0.9290 0.2500 0.2500

- DOS(E_F) (states/eV/cell) = 2.7
- uncorrected formation energy (meV per atom) = -1262
- space-group type = R-3c
- polymorph energy (0 for the lowest one) (eV/atom) = 0.011



An optimized crystal structure of CrSiMoRh. Source: Alexandria, functional PBE.

Lattice parameters (Å, degrees): 4.2444 4.2444 4.2444 60.00 60.00 60.00
Each line ends with the local moment (μB).
Element x y z (fractional)
1 Rh 0.7500 0.7500 0.7500  0.05
2 Cr 0.5000 0.5000 0.5000  1.54
3 Mo 0.2500 0.2500 0.2500  -0.48
4 Si 0.0000 0.0000 0.0000  -0.01

- DOS(E_F) (states/eV/cell) = 4.7
- uncorrected formation energy (meV per atom) = -258
- space-group type = F-43m



An optimized crystal structure of V14MoOs. Source: Alexandria, functional PBE.

Lattice parameters (Å, degrees): 6.0162 6.0162 6.0136 90.00 90.00 89.99
Element x y z (fractional)
1 V 0.6261 0.6261 0.7511
2 V 0.6261 0.1239 0.7511
3 V 0.1239 0.6261 0.7511
4 V 0.8750 0.3750 0.5000
5 V 0.6261 0.6261 0.2489
6 V 0.1239 0.6261 0.2489
7 V 0.8750 0.8750 0.0000
8 V 0.1239 0.1239 0.2489
9 V 0.3750 0.8750 0.5000
10 V 0.6261 0.1239 0.2489
11 V 0.1239 0.1239 0.7511
12 V 0.3750 0.8750 0.0000
13 V 0.3750 0.3750 0.0000
14 V 0.8750 0.3750 0.0000
15 Mo 0.3750 0.3750 0.5000
16 Os 0.8750 0.8750 0.5000

- formation energy (eV/atom) = -0.115
- DOS(E_F) (states/eV/cell) = 28.6
- space-group type = P4/mmm



An optimized crystal structure of BeNiCl. Source: Alexandria, functional PBE.

Lattice parameters (Å, degrees): 9.2799 4.4291 4.4143 90.00 99.93 90.00
Element x y z (fractional)
1 Cl 0.6887 0.2966 0.8319
2 Cl 0.3113 0.7966 0.6681
3 Cl 0.3113 0.2966 0.1681
4 Cl 0.6887 0.7966 0.3319
5 Be 0.8337 0.5024 0.1777
6 Be 0.1663 0.5024 0.8223
7 Be 0.1663 0.0024 0.3223
8 Be 0.8337 0.0024 0.6777
9 Ni 0.0665 0.9874 0.7769
10 Ni 0.0665 0.4874 0.2769
11 Ni 0.9335 0.9874 0.2231
12 Ni 0.9335 0.4874 0.7231

- DOS(E_F) (states/eV/cell) = 15.5
- uncorrected formation energy (meV per atom) = -421
- space-group type = C2
- polymorph energy (0 for the lowest one) (eV/atom) = 0.000



An optimized crystal structure of CaThGe2. Source: Alexandria, functional PBE.

Lattice parameters (Å, degrees): 3.4243 3.4243 8.3024 90.00 90.00 90.00
Element x y z (fractional)
1 Th 0.5000 0.5000 0.0000
2 Ge 0.0000 0.0000 0.2519
3 Ge 0.0000 0.0000 0.7481
4 Ca 0.5000 0.5000 0.5000

- formation energy (eV/atom) = -0.536
- DOS(E_F) (states/eV/cell) = 3.3
- space-group type = P4/mmm



An optimized crystal structure of PmTh6Sc12. Source: Alexandria, functional PBE.

Lattice parameters (Å, degrees): 8.7415 8.7415 8.7415 105.49 105.49 105.49
Element x y z (fractional)
1 Th 0.3170 0.7093 0.3170
2 Th 0.7093 0.3170 0.3170
3 Th 0.3170 0.3170 0.7093
4 Th 0.6830 0.2907 0.6830
5 Th 0.2907 0.6830 0.6830
6 Th 0.6830 0.6830 0.2907
7 Sc 0.3391 0.3391 0.1023
8 Sc 0.6609 0.6609 0.8977
9 Sc 0.3391 0.1023 0.3391
10 Sc 0.6609 0.8977 0.6609
11 Sc 0.8977 0.6609 0.6609
12 Sc 0.1089 0.5000 0.8911
13 Sc 0.8911 0.1089 0.5000
14 Sc 0.1023 0.3391 0.3391
15 Sc 0.8911 0.5000 0.1089
16 Sc 0.5000 0.1089 0.8911
17 Sc 0.1089 0.8911 0.5000
18 Sc 0.5000 0.8911 0.1089
19 Pm 0.0000 0.0000 0.0000

- formation energy (eV/atom) = 0.533
- DOS(E_F) (states/eV/cell) = 31.8
- space-group type = R-3m



An optimized crystal structure of Sc6Ag5Pd. Source: Alexandria, functional PBE.

Lattice parameters (Å, degrees): 4.8134 6.8357 7.6299 90.00 71.95 90.00
Element x y z (fractional)
1 Ag 0.6709 0.0000 0.6588
2 Ag 0.3325 0.5000 0.3352
3 Ag 0.6675 0.5000 0.6648
4 Ag 0.0000 0.5000 0.0000
5 Ag 0.3291 0.0000 0.3412
6 Pd 0.0000 0.0000 0.0000
7 Sc 0.8374 0.7529 0.3254
8 Sc 0.1627 0.7529 0.6746
9 Sc 0.1626 0.2471 0.6746
10 Sc 0.5000 0.7578 0.0000
11 Sc 0.8373 0.2471 0.3254
12 Sc 0.5000 0.2422 0.0000

- formation energy (eV/atom) = -0.377
- DOS(E_F) (states/eV/cell) = 7.3
- space-group type = P2/m



An optimized crystal structure of Er2SnHg3. Source: Alexandria, functional PBE.

Lattice parameters (Å, degrees): 7.3833 9.6486 9.6486 120.00 90.00 90.00
Element x y z (fractional)
1 Sn 0.0386 0.6667 0.3333
2 Sn 0.9614 0.3333 0.6667
3 Sn 0.5386 0.3333 0.6667
4 Sn 0.4614 0.6667 0.3333
5 Hg 0.9520 0.3308 0.1654
6 Hg 0.0480 0.1654 0.3308
7 Hg 0.4520 0.1654 0.8346
8 Hg 0.9520 0.8346 0.6692
9 Hg 0.9520 0.8346 0.1654
10 Hg 0.5480 0.8346 0.6692
11 Hg 0.0480 0.1654 0.8346
12 Hg 0.4520 0.1654 0.3308
13 Hg 0.0480 0.6692 0.8346
14 Hg 0.5480 0.8346 0.1654
15 Hg 0.4520 0.6692 0.8346
16 Hg 0.5480 0.3308 0.1654
17 Er 0.2500 0.4950 0.5050
18 Er 0.2500 0.4950 0.9900
19 Er 0.7500 0.5050 0.4950
20 Er 0.2500 0.0000 0.0000
21 Er 0.7500 0.5050 0.0100
22 Er 0.2500 0.0100 0.5050
23 Er 0.7500 0.9900 0.4950
24 Er 0.7500 0.0000 0.0000

- formation energy (eV/atom) = -0.414
- DOS(E_F) (states/eV/cell) = 7.4
- space-group type = P6_3/mmc
- polymorph energy (0 for the lowest one) (eV/atom) = 0.000



An optimized crystal structure of PmSm2Dy4Ho. Source: Alexandria, functional PBE.

Lattice parameters (Å, degrees): 9.5185 9.5185 11.8110 128.35 128.35 88.48
Each line ends with the local moment (μB).
Element x y z (fractional)
1 Dy 0.2511 0.2507 0.4982  0.31
2 Dy 0.7525 0.2468 0.9994  0.29
3 Dy 0.7507 0.7511 0.9982  0.31
4 Dy 0.2475 0.7532 0.0006  0.29
5 Dy 0.2532 0.7475 0.5006  0.29
6 Dy 0.7468 0.2525 0.4994  0.29
7 Dy 0.7489 0.7493 0.5018  0.31
8 Dy 0.2493 0.2489 0.0018  0.31
9 Sm 0.5000 0.0000 0.5000  0.23
10 Sm 0.5000 0.0000 0.0000  0.23
11 Sm 0.0000 0.0000 0.5000  0.25
12 Sm 0.5000 0.5000 0.0000  0.25
13 Pm 0.0000 0.5000 0.5000  0.24
14 Pm 0.0000 0.5000 0.0000  0.24
15 Ho 0.5000 0.5000 0.5000  0.31
16 Ho 0.0000 0.0000 0.0000  0.31

- formation energy (eV/atom) = 0.423
- DOS(E_F) (states/eV/cell) = 35.5
- space-group type = C2/c



An optimized crystal structure of NaHgBrF2. Source: Alexandria, functional PBE.

Lattice parameters (Å, degrees): 4.4521 6.4273 7.7586 76.40 90.00 90.00
Element x y z (fractional)
1 F 0.7500 0.0048 0.8881
2 F 0.2500 0.9952 0.1119
3 F 0.2500 0.0600 0.6204
4 F 0.7500 0.9400 0.3796
5 Hg 0.7500 0.1901 0.0936
6 Hg 0.2500 0.8099 0.9064
7 Br 0.2500 0.4914 0.7712
8 Br 0.7500 0.5086 0.2288
9 Na 0.7500 0.1426 0.5849
10 Na 0.2500 0.8574 0.4151

- DOS(E_F) (states/eV/cell) = 0.0
- uncorrected formation energy (meV per atom) = -1620
- space-group type = P2_1/m
- polymorph energy (0 for the lowest one) (eV/atom) = 0.000



An optimized crystal structure of KYAs2. Source: Alexandria, functional PBE.

Lattice parameters (Å, degrees): 3.3821 5.1502 6.1052 90.00 90.00 90.00
Element x y z (fractional)
1 K 0.0000 0.0000 0.3747
2 Y 0.5000 0.5000 0.8751
3 As 0.0000 0.0000 0.8747
4 As 0.5000 0.5000 0.3755

- formation energy (eV/atom) = -0.386
- DOS(E_F) (states/eV/cell) = 4.5
- space-group type = Pmmm
- polymorph energy (0 for the lowest one) (eV/atom) = 0.426



An optimized crystal structure of TcRu2Cl. Source: Alexandria, functional PBE.

Lattice parameters (Å, degrees): 4.0050 2.8492 5.2300 73.38 90.00 90.00
Element x y z (fractional)
1 Tc 0.5000 0.2500 0.2500
2 Cl 0.5000 0.7500 0.7500
3 Ru 0.0000 0.6263 0.5074
4 Ru 0.0000 0.8737 0.9926

- DOS(E_F) (states/eV/cell) = 4.8
- uncorrected formation energy (meV per atom) = 547
- space-group type = P2/m
- polymorph energy (0 for the lowest one) (eV/atom) = 0.223



An optimized crystal structure of Pr4Er2TmTh. Source: Alexandria, functional PBE.

Lattice parameters (Å, degrees): 6.0234 9.5372 6.0223 50.89 90.00 90.00
Element x y z (fractional)
1 Pr 0.0000 0.2515 0.2497
2 Pr 0.5000 0.2514 0.7479
3 Pr 0.0000 0.7485 0.7502
4 Pr 0.5000 0.7486 0.2521
5 Er 0.0000 0.0000 0.0000
6 Er 0.5000 0.0000 0.5000
7 Tm 0.0000 0.5000 0.5000
8 Th 0.5000 0.5000 0.0000

- formation energy (eV/atom) = 0.136
- DOS(E_F) (states/eV/cell) = 14.7
- space-group type = P2/m



An optimized crystal structure of CaMoPb2. Source: Alexandria, functional PBE.

Lattice parameters (Å, degrees): 5.4768 7.0712 3.4356 68.64 85.50 122.09
Each line ends with the local moment (μB).
Element x y z (fractional)
1 Mo 0.5000 0.0000 0.5000  1.78
2 Ca 0.5000 0.5000 0.0000  0.01
3 Pb 0.0000 0.5000 0.5000  -0.03
4 Pb 0.0000 0.0000 0.0000  -0.03

- formation energy (eV/atom) = 0.424
- DOS(E_F) (states/eV/cell) = 3.0
- space-group type = C2/m
- polymorph energy (0 for the lowest one) (eV/atom) = 0.220



An optimized crystal structure of Tl2ZnCu. Source: Alexandria, functional PBE.

Lattice parameters (Å, degrees): 4.9972 4.9972 4.9972 60.00 60.00 60.00
Element x y z (fractional)
1 Cu 0.0000 0.0000 0.0000
2 Tl 0.7500 0.7500 0.7500
3 Tl 0.2500 0.2500 0.2500
4 Zn 0.5000 0.5000 0.5000

- formation energy (eV/atom) = 0.297
- DOS(E_F) (states/eV/cell) = 2.0
- space-group type = Fm-3m
- polymorph energy (0 for the lowest one) (eV/atom) = 0.157



An optimized crystal structure of CaAlZnAu6. Source: Alexandria, functional PBE.

Lattice parameters (Å, degrees): 7.3298 9.1255 7.9929 124.81 117.29 90.00
Element x y z (fractional)
1 Zn 0.5000 0.0000 0.5000
2 Zn 0.0000 0.0000 0.5000
3 Au 0.3275 0.1378 0.2560
4 Au 0.5859 0.8359 0.1719
5 Au 0.9285 0.1378 0.2560
6 Au 0.4141 0.1641 0.8281
7 Au 0.0715 0.8622 0.7440
8 Au 0.0136 0.7636 0.0271
9 Au 0.3275 0.6183 0.2560
10 Au 0.0715 0.3817 0.7440
11 Au 0.6725 0.3817 0.7440
12 Au 0.6725 0.8622 0.7440
13 Au 0.9285 0.6183 0.2560
14 Au 0.9864 0.2364 0.9729
15 Ca 0.2832 0.5332 0.5665
16 Ca 0.7168 0.4668 0.4335
17 Al 0.5000 0.5000 0.0000
18 Al 0.5000 0.0000 0.0000

- formation energy (eV/atom) = -0.290
- DOS(E_F) (states/eV/cell) = 6.7
- space-group type = Imma



An optimized crystal structure of LiTmH8Ir2. Source: Alexandria, functional PBE.

Lattice parameters (Å, degrees): 4.3141 4.5169 6.0431 67.10 69.09 61.47
Element x y z (fractional)
1 Tm 0.5000 0.5000 0.5000
2 Ir 0.2908 0.2710 0.1474
3 Ir 0.7092 0.7290 0.8526
4 H 0.0796 0.0107 0.3157
5 H 0.5940 0.0107 0.3157
6 H 0.9360 0.4541 0.6739
7 H 0.4060 0.9893 0.6843
8 H 0.2542 0.6036 0.8881
9 H 0.9204 0.9893 0.6843
10 H 0.7458 0.3964 0.1119
11 H 0.0640 0.5459 0.3261
12 Li 0.0000 0.0000 0.0000

- DOS(E_F) (states/eV/cell) = 0.5
- final energy (eV/cell) = -54.565
- space-group type = C2/m



An optimized crystal structure of Sm3Er2Mg2. Source: Alexandria, functional PBE.

Lattice parameters (Å, degrees): 5.2920 3.4741 11.9074 90.00 77.16 90.00
Each line ends with the local moment (μB).
Element x y z (fractional)
1 Er 0.2879 0.5000 0.4242  0.00
2 Er 0.7121 0.5000 0.5758  0.00
3 Sm 0.0000 0.0000 0.0000  0.14
4 Sm 0.1506 0.0000 0.6988  0.02
5 Sm 0.8494 0.0000 0.3012  0.02
6 Mg 0.5695 0.5000 0.8610  0.00
7 Mg 0.4305 0.5000 0.1390  0.00

- formation energy (eV/atom) = 0.038
- DOS(E_F) (states/eV/cell) = 8.3
- space-group type = Cmmm



An optimized crystal structure of Zn3NiTe. Source: Alexandria, functional PBE.

Lattice parameters (Å, degrees): 5.2890 5.2890 5.2890 90.00 90.00 90.00
Each line ends with the local moment (μB).
Element x y z (fractional)
1 Te 0.0000 0.0000 0.0000  0.00
2 Ni 0.5000 0.5000 0.5000  0.92
3 Zn 0.5000 0.0000 0.0000  0.00
4 Zn 0.0000 0.5000 0.0000  0.00
5 Zn 0.0000 0.0000 0.5000  0.01

- DOS(E_F) (states/eV/cell) = 7.1
- uncorrected formation energy (meV per atom) = 1084
- space-group type = Pm-3m
- polymorph energy (0 for the lowest one) (eV/atom) = 0.871